Crystalline NdY2Th3Se6 at its relaxed geometry. Source: Alexandria via LeMat-Bulk, functional PBE.

Its energy relative to the elements, uncorrected is -159 kJ/mol of atoms. The total energy is -6.72 eV/atom. Its crystal system is monoclinic.

The structure belongs to space group C2/m (No. 12); the cell edges are 7.109, 12.175 and 7.473 Å and the angles 90.00°, 108.06° and 90.00°. Symmetry generates all atoms from Nd at (0.000, 0.000, 0.000), Y at (0.000, 0.332, 0.000), Th at (0.000, 0.161, 0.500), Th at (0.000, 0.500, 0.500), Se at (0.236, 0.500, 0.234) and Se at (0.248, 0.329, 0.759).

Crystalline CsSc3Ag at its relaxed geometry. Source: Alexandria via LeMat-Bulk, functional PBE.

The formation energy is 1446 meV per atom. The total energy is -3.09 eV/atom. Its crystal system is cubic.

The structure belongs to space group Pm-3m (No. 221); the cell edges are 5.239, 5.239 and 5.239 Å and the angles 90.00°, 90.00° and 90.00°. Symmetry generates all atoms from Cs at (0.000, 0.000, 0.000), Sc at (0.000, 0.000, 0.500) and Ag at (0.500, 0.500, 0.500).

Crystalline Tl3SiPd at its relaxed geometry. Source: Alexandria via LeMat-Bulk, functional PBE.

Its energy relative to the elements, uncorrected is 61 kJ/mol of atoms. The total energy is -2.91 eV/atom. Its crystal system is cubic.

The structure belongs to space group Pm-3m (No. 221); the cell edges are 5.239, 5.239 and 5.239 Å and the angles 90.00°, 90.00° and 90.00°. Symmetry generates all atoms from Tl at (0.000, 0.000, 0.500), Si at (0.000, 0.000, 0.000) and Pd at (0.500, 0.500, 0.500).

Crystalline Zr2BeSb at its relaxed geometry. Source: Alexandria via LeMat-Bulk, functional PBE.

Its energy relative to the elements, uncorrected is -10 kJ/mol of atoms. The total energy is -6.34 eV/atom. Its crystal system is tetragonal.

The structure belongs to space group P4mm (No. 99); the cell edges are 3.807, 3.807 and 5.806 Å and the angles 90.00°, 90.00° and 90.00°. Symmetry generates all atoms from Zr at (0.000, 0.000, 0.000), Zr at (0.500, 0.500, 0.287), Be at (0.000, 0.000, 0.447) and Sb at (0.500, 0.500, 0.778).

Crystalline Li2In5Pt3 at its relaxed geometry. Source: Alexandria via LeMat-Bulk, functional PBE.

The formation energy is -469 meV per atom. The total energy is -4.03 eV/atom. Its crystal system is orthorhombic.

The structure belongs to space group Cmc2_1 (No. 36); the cell edges are 4.525, 27.985 and 6.375 Å and the angles 90.00°, 90.00° and 90.00°. Symmetry generates all atoms from Li at (0.000, 0.022, 0.000), Li at (0.000, 0.356, 0.952), In at (0.000, 0.087, 0.631), In at (0.000, 0.204, 0.492), In at (0.000, 0.207, 0.997), In at (0.000, 0.374, 0.454), In at (0.000, 0.448, 0.787), Pt at (0.000, 0.120, 0.226), Pt at (0.000, 0.287, 0.244) and Pt at (0.000, 0.459, 0.223).

Crystalline TaNbPt4 at its relaxed geometry. Source: Alexandria via LeMat-Bulk, functional PBE.

The formation energy is -600 meV per atom. The total energy is -8.28 eV/atom. Its crystal system is tetragonal.

The structure belongs to space group P4/mmm (No. 123); the cell edges are 2.855, 2.855 and 11.986 Å and the angles 90.00°, 90.00° and 90.00°. Symmetry generates all atoms from Ta at (0.000, 0.000, 0.000), Nb at (0.500, 0.500, 0.500), Pt at (0.000, 0.000, 0.338) and Pt at (0.500, 0.500, 0.161).

Crystalline Ni3BiC at its relaxed geometry. Source: Alexandria via LeMat-Bulk, functional PBE.

The formation energy is 199 meV per atom. The total energy is -5.89 eV/atom. Its crystal system is cubic.

The structure belongs to space group Pm-3m (No. 221); the cell edges are 3.989, 3.989 and 3.989 Å and the angles 90.00°, 90.00° and 90.00°. Symmetry generates all atoms from Ni at (0.000, 0.000, 0.500), Bi at (0.500, 0.500, 0.500) and C at (0.000, 0.000, 0.000).

Crystalline Hf4AuN at its relaxed geometry. Source: Alexandria via LeMat-Bulk, functional PBE.

Its energy relative to the elements, uncorrected is -59 kJ/mol of atoms. The total energy is -9.19 eV/atom. Its crystal system is monoclinic.

The structure belongs to space group C2/c (No. 15); the cell edges are 7.482, 12.872 and 5.568 Å and the angles 90.00°, 121.27° and 90.00°. Symmetry generates all atoms from Hf at (0.143, 0.205, 0.154), Hf at (0.210, 0.052, 0.705), Au at (0.000, 0.389, 0.750) and N at (0.000, 0.063, 0.250).